(1)
Here is a relaxed structure of KNa2PuBr6 from the Alexandria database. Energies are from GGA-PBE.

CIF file:
```
data_KNa2PuBr6
_space_group_name_H-M_alt 'R 3'
_space_group_IT_number 146
_space_group_name_Hall 'R 3'
_cell_length_a 7.6182
_cell_length_b 7.6182
_cell_length_c 21.0476
_cell_angle_alpha 90.00
_cell_angle_beta 90.00
_cell_angle_gamma 120.00
loop_
_atom_site_label
_atom_site_type_symbol
_atom_site_fract_x
_atom_site_fract_y
_atom_site_fract_z
K1 K 0.0000 0.0000 0.0000
Na1 Na 0.0000 0.0000 0.2908
Na2 Na 0.0000 0.0000 0.8029
Pu1 Pu 0.0000 0.0000 0.4840
Br1 Br 0.0021 0.3491 0.2226
Br2 Br 0.0246 0.6232 0.0615
```

Results
As for the theoretical density: 3.81 Mg/m³. For the magnetic moment, the calculation gives 0.50 μB per atom. The value obtained for the final energy is -4.390 eV/atom.

(2)
Here is a relaxed structure of K2NaPuBr5 from the Alexandria database. Energies are from GGA-PBE.

CIF file:
```
data_K2NaPuBr5
_space_group_name_H-M_alt 'C m c 21'
_space_group_IT_number 36
_space_group_name_Hall 'C 2c -2'
_cell_length_a 4.474
_cell_length_b 19.019
_cell_length_c 15.001
_cell_angle_alpha 90.00
_cell_angle_beta 90.00
_cell_angle_gamma 90.00
loop_
_atom_site_label
_atom_site_type_symbol
_atom_site_fract_x
_atom_site_fract_y
_atom_site_fract_z
K1 K 0.000 0.087 0.000
K2 K 0.000 0.130 0.636
Na1 Na 0.000 0.458 0.790
Pu1 Pu 0.000 0.226 0.365
Br1 Br 0.000 0.071 0.400
Br2 Br 0.000 0.263 0.002
Br3 Br 0.000 0.297 0.734
Br4 Br 0.000 0.381 0.333
Br5 Br 0.000 0.499 0.112
```

Results
As for the theoretical density: 3.88 Mg/m³. For the magnetic moment, the calculation gives 0.67 μB per atom. The value obtained for the final energy is -4.478 eV/atom.

(3)
Here is a relaxed structure of KNaPu2Br8 from the Alexandria database. Energies are from GGA-PBE.

CIF file:
```
data_KNaPu2Br8
_space_group_name_H-M_alt 'P 1 2/m 1'
_space_group_IT_number 10
_space_group_name_Hall '-P 2y'
_cell_length_a 7.017
_cell_length_b 8.905
_cell_length_c 7.267
_cell_angle_alpha 90.00
_cell_angle_beta 94.25
_cell_angle_gamma 90.00
loop_
_atom_site_label
_atom_site_type_symbol
_atom_site_fract_x
_atom_site_fract_y
_atom_site_fract_z
K1 K 0.000 0.000 0.000
Na1 Na 0.000 0.500 0.000
Pu1 Pu 0.500 0.254 0.500
Br1 Br 0.257 0.268 0.172
Br2 Br 0.278 0.500 0.642
Br3 Br 0.282 0.000 0.632
```

Results
As for the theoretical density: 4.36 Mg/m³. For the magnetic moment, the calculation gives 0.83 μB per atom. The value obtained for the final energy is -5.253 eV/atom.

(4)
Here is a relaxed structure of K4Rb3NaBr8 from the Alexandria database. Energies are from GGA-PBE.

CIF file:
```
data_K4Rb3NaBr8
_space_group_name_H-M_alt 'C 1 2/m 1'
_space_group_IT_number 12
_space_group_name_Hall '-C 2y'
_cell_length_a 16.517
_cell_length_b 9.539
_cell_length_c 9.533
_cell_angle_alpha 90.00
_cell_angle_beta 125.23
_cell_angle_gamma 90.00
loop_
_atom_site_label
_atom_site_type_symbol
_atom_site_fract_x
_atom_site_fract_y
_atom_site_fract_z
K1 K 0.000 0.000 0.000
K2 K 0.000 0.500 0.000
K3 K 0.250 0.250 0.500
Rb1 Rb 0.000 0.000 0.500
Rb2 Rb 0.250 0.250 0.000
Na1 Na 0.000 0.500 0.500
Br1 Br 0.004 0.263 0.259
Br2 Br 0.243 0.500 0.735
Br3 Br 0.246 0.500 0.254
```

Results
As for the theoretical density: 2.91 Mg/m³. For the magnetic moment, the calculation gives 0.00 μB per atom. The value obtained for the final energy is -3.071 eV/atom.

(5)
Here is a relaxed structure of K2RbNaBr from the Alexandria database. Energies are from GGA-PBE.

CIF file:
```
data_K2RbNaBr
_space_group_name_H-M_alt 'P 4/m m m'
_space_group_IT_number 123
_space_group_name_Hall '-P 4 2'
_cell_length_a 6.708
_cell_length_b 6.708
_cell_length_c 6.337
_cell_angle_alpha 90.00
_cell_angle_beta 90.00
_cell_angle_gamma 90.00
loop_
_atom_site_label
_atom_site_type_symbol
_atom_site_fract_x
_atom_site_fract_y
_atom_site_fract_z
K1 K 0.000 0.500 0.000
Rb1 Rb 0.000 0.000 0.500
Na1 Na 0.500 0.500 0.500
Br1 Br 0.500 0.500 0.000
```

Results
As for the theoretical density: 1.55 Mg/m³. For the magnetic moment, the calculation gives 0.00 μB per atom. The value obtained for the final energy is -1.779 eV/atom. The relative energy among the computed polymorphs comes out at 0.074 eV/atom.

(6)
Here is a relaxed structure of KRbNa2Br from the Alexandria database. Energies are from GGA-PBE.

CIF file:
```
data_KRbNa2Br
_space_group_name_H-M_alt 'P 4/m m m'
_space_group_IT_number 123
_space_group_name_Hall '-P 4 2'
_cell_length_a 6.264
_cell_length_b 6.264
_cell_length_c 6.573
_cell_angle_alpha 90.00
_cell_angle_beta 90.00
_cell_angle_gamma 90.00
loop_
_atom_site_label
_atom_site_type_symbol
_atom_site_fract_x
_atom_site_fract_y
_atom_site_fract_z
K1 K 0.000 0.000 0.000
Rb1 Rb 0.500 0.500 0.000
Na1 Na 0.000 0.500 0.500
Br1 Br 0.000 0.000 0.500
```

Results
As for the theoretical density: 1.61 Mg/m³. For the magnetic moment, the calculation gives 0.00 μB per atom. The value obtained for the final energy is -1.759 eV/atom. The relative energy among the computed polymorphs comes out at 0.005 eV/atom.

(7)
Here is a relaxed structure of K2RbNaBr from the Alexandria database. Energies are from GGA-PBE.

CIF file:
```
data_K2RbNaBr
_space_group_name_H-M_alt 'P 4/m m m'
_space_group_IT_number 123
_space_group_name_Hall '-P 4 2'
_cell_length_a 6.532
_cell_length_b 6.532
_cell_length_c 6.850
_cell_angle_alpha 90.00
_cell_angle_beta 90.00
_cell_angle_gamma 90.00
loop_
_atom_site_label
_atom_site_type_symbol
_atom_site_fract_x
_atom_site_fract_y
_atom_site_fract_z
K1 K 0.000 0.500 0.000
Rb1 Rb 0.000 0.000 0.500
Na1 Na 0.500 0.500 0.500
Br1 Br 0.000 0.000 0.000
```

Results
As for the theoretical density: 1.51 Mg/m³. For the magnetic moment, the calculation gives 0.00 μB per atom. The value obtained for the final energy is -1.853 eV/atom. The relative energy among the computed polymorphs comes out at 0.000 eV/atom.

(8)
Here is a relaxed structure of K2RbNaBr4 from the Alexandria database. Energies are from GGA-PBE.

CIF file:
```
data_K2RbNaBr4
_space_group_name_H-M_alt 'C m c m'
_space_group_IT_number 63
_space_group_name_Hall '-C 2c 2'
_cell_length_a 4.736
_cell_length_b 15.936
_cell_length_c 16.410
_cell_angle_alpha 90.00
_cell_angle_beta 90.00
_cell_angle_gamma 90.00
loop_
_atom_site_label
_atom_site_type_symbol
_atom_site_fract_x
_atom_site_fract_y
_atom_site_fract_z
K1 K 0.000 0.131 0.047
Rb1 Rb 0.000 0.375 0.250
Na1 Na 0.000 0.357 0.750
Br1 Br 0.000 0.046 0.250
Br2 Br 0.000 0.238 0.624
Br3 Br 0.000 0.500 0.000
```

Results
As for the theoretical density: 2.72 Mg/m³. For the magnetic moment, the calculation gives 0.02 μB per atom. The value obtained for the final energy is -3.059 eV/atom.